Crystalline EuInAs2 at its relaxed geometry, computed with PBE-GGA.

Calculated values
- Energy above the lowest structure with this stoichiometry: 0.000 eV per atom
- Magnetization: 1.657 μB per atom
- SG: No. 123

```
EuInAs2
1.0
4.806 0.000 0.000
0.000 4.806 0.000
0.000 0.000 3.999
Eu In As
1 1 2
direct
0.000 0.000 0.000
0.500 0.500 0.000
0.000 0.500 0.500
0.500 0.000 0.500
```

---

Crystalline EuIn2As2 at its relaxed geometry, computed with PBE-GGA.

Calculated values
- Energy: -5.627 eV/atom
- Magnetization: 1.398 μB per atom
- SG: No. 194

```
EuIn2As2
1.0
4.276 0.000 0.000
-2.138 3.703 0.000
0.000 0.000 17.945
Eu In As
2 4 4
direct
0.000 0.000 0.000
0.000 0.000 0.500
0.333 0.667 0.171
0.333 0.667 0.329
0.667 0.333 0.671
0.667 0.333 0.829
0.333 0.667 0.604
0.333 0.667 0.896
0.667 0.333 0.104
0.667 0.333 0.396
```

---

Crystalline EuInAs at its relaxed geometry, computed with PBE-GGA.

Calculated values
- Energy: -6.572 eV/atom
- Magnetization: 2.333 μB per atom
- SG: No. 156

```
EuInAs
1.0
4.318 0.000 0.000
-2.159 3.740 0.000
0.000 0.000 5.443
Eu In As
1 1 1
direct
0.000 0.000 0.000
0.667 0.333 0.444
0.333 0.667 0.692
```